Record 1
The following is a PBE calculation of a geometry-optimized NiSbAu2 structure, from the Alexandria database.

a = 4.017 Å, b = 4.017 Å, c = 4.432 Å
α = 90.00°, β = 90.00°, γ = 90.03°
Sites, in units of the cell vectors:
Au1 0.000 0.000 0.000
Au2 0.500 0.500 0.000
Sb1 0.000 0.500 0.500
Ni1 0.500 0.000 0.500

Output
ΔE_f (raw)	2.63	kcal/mol of atoms
DFT total energy	-4.001	eV/atom
D(E_F)	0.64	states/eV per atom



Record 2
The following is a PBE calculation of a geometry-optimized NiSbAu2 structure, from the Alexandria database.

a = 6.157 Å, b = 6.157 Å, c = 4.142 Å
α = 70.46°, β = 70.46°, γ = 30.01°
Sites, in units of the cell vectors:
Sb1 0.750 0.750 0.750
Au1 0.555 0.555 0.445
Au2 0.945 0.945 0.055
Ni1 0.250 0.250 0.250

Output
ΔE_f (raw)	0.74	kcal/mol of atoms
DFT total energy	-4.083	eV/atom
D(E_F)	0.52	states/eV per atom



Record 3
The following is a PBE calculation of a geometry-optimized NiSbAu2 structure, from the Alexandria database.

a = 7.613 Å, b = 7.613 Å, c = 5.997 Å
α = 50.60°, β = 50.60°, γ = 90.00°
Sites, in units of the cell vectors:
Au1 0.875 0.846 0.750
Au2 0.375 0.404 0.750
Au3 0.154 0.625 0.250
Au4 0.596 0.125 0.250
Sb1 0.750 0.250 0.500
Sb2 0.000 0.000 0.000
Ni1 0.500 0.500 0.000
Ni2 0.250 0.750 0.500

Output
ΔE_f (raw)	3.27	kcal/mol of atoms
DFT total energy	-3.973	eV/atom
D(E_F)	0.84	states/eV per atom



Record 4
The following is a PBE calculation of a geometry-optimized Ni2SbAu structure, from the Alexandria database.

a = 4.880 Å, b = 4.880 Å, c = 4.296 Å
α = 76.56°, β = 76.56°, γ = 38.89°
Sites, in units of the cell vectors:
Ni1 0.744 0.744 0.719
Ni2 0.008 0.008 0.025
Sb1 0.487 0.487 0.555
Au1 0.261 0.261 0.201

Output
ΔE_f (raw)	1.09	kcal/mol of atoms
DFT total energy	-4.693	eV/atom
D(E_F)	0.63	states/eV per atom



Record 5
The following is a PBE calculation of a geometry-optimized Ni2SbAu structure, from the Alexandria database.

a = 3.473 Å, b = 3.473 Å, c = 5.316 Å
α = 90.00°, β = 90.00°, γ = 90.00°
Sites, in units of the cell vectors:
Sb1 0.000 0.000 0.460
Ni1 0.000 0.000 0.989
Ni2 0.500 0.500 0.263
Au1 0.500 0.500 0.787

Output
ΔE_f (raw)	1.99	kcal/mol of atoms
DFT total energy	-4.654	eV/atom
D(E_F)	0.72	states/eV per atom



Record 6
The following is a PBE calculation of a geometry-optimized Ni2SbAu structure, from the Alexandria database.

a = 5.057 Å, b = 5.057 Å, c = 5.057 Å
α = 136.82°, β = 134.97°, γ = 64.16°
Sites, in units of the cell vectors:
Ni1 0.735 0.235 0.500
Ni2 0.996 0.996 0.000
Au1 0.259 0.759 0.500
Sb1 0.510 0.510 0.000

Output
ΔE_f (raw)	1.04	kcal/mol of atoms
DFT total energy	-4.695	eV/atom
D(E_F)	0.56	states/eV per atom



Record 7
The following is a PBE calculation of a geometry-optimized Ni6SbAu structure, from the Alexandria database.

a = 6.436 Å, b = 6.436 Å, c = 10.496 Å
α = 90.00°, β = 90.00°, γ = 109.28°
Sites, in units of the cell vectors:
Ni1 0.373 0.124 0.374
Ni2 0.373 0.124 0.126
Ni3 0.374 0.124 0.875
Ni4 0.876 0.627 0.126
Ni5 0.249 0.751 0.001
Ni6 0.627 0.876 0.126
Ni7 0.124 0.373 0.374
Ni8 0.374 0.124 0.625
Ni9 0.626 0.876 0.875
Ni10 0.500 0.500 0.750
Ni11 0.876 0.626 0.875
Ni12 0.249 0.751 0.499
Ni13 0.751 0.249 0.001
Ni14 0.751 0.249 0.499
Ni15 0.500 0.500 0.250
Ni16 0.876 0.626 0.625
Ni17 0.000 0.000 0.750
Ni18 0.124 0.374 0.875
Ni19 0.124 0.373 0.126
Ni20 0.626 0.876 0.625
Ni21 0.627 0.876 0.374
Ni22 0.124 0.374 0.625
Ni23 0.000 0.000 0.250
Ni24 0.876 0.627 0.374
Au1 0.500 0.500 0.502
Au2 0.500 0.500 0.998
Au3 0.251 0.749 0.750
Au4 0.749 0.251 0.750
Sb1 0.000 0.000 0.503
Sb2 0.749 0.251 0.250
Sb3 0.000 0.000 0.997
Sb4 0.251 0.749 0.250

Output
ΔE_f (raw)	-0.56	kcal/mol of atoms
DFT total energy	-5.285	eV/atom
D(E_F)	1.46	states/eV per atom



Record 8
The following is a PBE calculation of a geometry-optimized Ni2SbAu structure, from the Alexandria database.

a = 4.142 Å, b = 4.142 Å, c = 5.158 Å
α = 66.33°, β = 66.33°, γ = 60.00°
Sites, in units of the cell vectors:
Ni1 0.066 0.066 0.803
Ni2 0.269 0.269 0.193
Au1 0.486 0.486 0.543
Sb1 0.680 0.680 0.961

Output
ΔE_f (raw)	2.06	kcal/mol of atoms
DFT total energy	-4.651	eV/atom
D(E_F)	0.48	states/eV per atom



Record 9
The following is a PBE calculation of a geometry-optimized NiSb4Au structure, from the Alexandria database.

a = 6.535 Å, b = 6.525 Å, c = 6.556 Å
α = 90.00°, β = 90.39°, γ = 90.00°
Sites, in units of the cell vectors:
Sb1 0.117 0.383 0.855
Sb2 0.139 0.862 0.610
Sb3 0.883 0.617 0.145
Sb4 0.383 0.883 0.145
Sb5 0.361 0.362 0.390
Sb6 0.639 0.638 0.610
Sb7 0.861 0.138 0.390
Sb8 0.617 0.117 0.855
Au1 0.500 0.500 0.000
Au2 0.000 0.000 0.000
Ni1 0.000 0.500 0.500
Ni2 0.500 0.000 0.500

Output
ΔE_f (raw)	-2.96	kcal/mol of atoms
offset from the most stable computed form	0	meV/atom
DFT total energy	-4.386	eV/atom
D(E_F)	0.53	states/eV per atom



Record 10
The following is a PBE calculation of a geometry-optimized NiSbAu4 structure, from the Alexandria database.

a = 5.509 Å, b = 5.509 Å, c = 5.509 Å
α = 60.00°, β = 60.00°, γ = 60.00°
Sites, in units of the cell vectors:
Ni1 0.750 0.750 0.750
Au1 0.375 0.375 0.375
Au2 0.874 0.375 0.375
Au3 0.375 0.874 0.375
Au4 0.375 0.375 0.874
Sb1 0.000 0.000 0.000

Output
ΔE_f (raw)	7.30	kcal/mol of atoms
DFT total energy	-3.519	eV/atom
D(E_F)	0.64	states/eV per atom



Record 11
The following is a PBE calculation of a geometry-optimized Ni2SbAu structure, from the Alexandria database.

a = 6.975 Å, b = 6.975 Å, c = 5.641 Å
α = 51.81°, β = 51.81°, γ = 90.00°
Sites, in units of the cell vectors:
Sb1 0.250 0.750 0.500
Sb2 0.500 0.500 0.000
Ni1 0.137 0.625 0.250
Ni2 0.375 0.387 0.750
Ni3 0.613 0.125 0.250
Ni4 0.875 0.863 0.750
Au1 0.000 0.000 0.000
Au2 0.750 0.250 0.500

Output
ΔE_f (raw)	3.90	kcal/mol of atoms
DFT total energy	-4.572	eV/atom
D(E_F)	0.61	states/eV per atom



Record 12
The following is a PBE calculation of a geometry-optimized Ni2SbAu structure, from the Alexandria database.

a = 7.360 Å, b = 7.360 Å, c = 7.360 Å
α = 25.76°, β = 25.76°, γ = 25.76°
Sites, in units of the cell vectors:
Ni1 0.997 0.997 0.997
Ni2 0.503 0.503 0.503
Au1 0.750 0.750 0.750
Sb1 0.250 0.250 0.250

Output
ΔE_f (raw)	2.60	kcal/mol of atoms
DFT total energy	-4.628	eV/atom
D(E_F)	0.24	states/eV per atom



Record 13
The following is a PBE calculation of a geometry-optimized Ni2SbAu structure, from the Alexandria database.

a = 4.266 Å, b = 3.220 Å, c = 4.471 Å
α = 90.11°, β = 90.00°, γ = 90.00°
Sites, in units of the cell vectors:
Ni1 0.000 0.124 0.951
Ni2 0.500 0.125 0.317
Au1 0.500 0.624 0.830
Sb1 0.000 0.626 0.402

Output
ΔE_f (raw)	0.09	kcal/mol of atoms
DFT total energy	-4.737	eV/atom
D(E_F)	0.63	states/eV per atom



Record 14
The following is a PBE calculation of a geometry-optimized NiSbAu structure, from the Alexandria database.

a = 5.071 Å, b = 5.071 Å, c = 5.071 Å
α = 139.94°, β = 139.94°, γ = 57.94°
Sites, in units of the cell vectors:
Sb1 0.688 0.688 0.000
Ni1 0.317 0.317 0.000
Au1 0.995 0.995 0.000

Output
ΔE_f (raw)	1.44	kcal/mol of atoms
DFT total energy	-4.331	eV/atom
D(E_F)	0.40	states/eV per atom



Record 15
The following is a PBE calculation of a geometry-optimized Ni4SbAu structure, from the Alexandria database.

a = 4.896 Å, b = 4.896 Å, c = 4.896 Å
α = 60.00°, β = 60.00°, γ = 60.00°
Sites, in units of the cell vectors:
Ni1 0.375 0.375 0.876
Ni2 0.375 0.375 0.375
Ni3 0.876 0.375 0.375
Ni4 0.375 0.876 0.375
Sb1 0.750 0.750 0.750
Au1 0.000 0.000 0.000

Output
ΔE_f (raw)	1.88	kcal/mol of atoms
DFT total energy	-5.006	eV/atom
D(E_F)	1.18	states/eV per atom



Record 16
The following is a PBE calculation of a geometry-optimized NiSbAu2 structure, from the Alexandria database.

a = 4.630 Å, b = 4.630 Å, c = 4.923 Å
α = 74.19°, β = 74.19°, γ = 46.84°
Sites, in units of the cell vectors:
Au1 0.997 0.997 0.007
Au2 0.237 0.237 0.273
Sb1 0.769 0.769 0.699
Ni1 0.497 0.497 0.521

Output
ΔE_f (raw)	2.01	kcal/mol of atoms
DFT total energy	-4.027	eV/atom
D(E_F)	0.48	states/eV per atom



Record 17
The following is a PBE calculation of a geometry-optimized NiSbAu2 structure, from the Alexandria database.

a = 5.202 Å, b = 5.202 Å, c = 5.202 Å
α = 134.23°, β = 134.23°, γ = 66.72°
Sites, in units of the cell vectors:
Au1 0.000 0.000 0.000
Au2 0.500 0.500 0.000
Ni1 0.250 0.750 0.500
Sb1 0.750 0.250 0.500

Output
ΔE_f (raw)	2.04	kcal/mol of atoms
DFT total energy	-4.026	eV/atom
D(E_F)	0.31	states/eV per atom



Record 18
The following is a PBE calculation of a geometry-optimized NiSb4Au structure, from the Alexandria database.

a = 6.083 Å, b = 6.083 Å, c = 6.083 Å
α = 60.00°, β = 60.00°, γ = 60.00°
Sites, in units of the cell vectors:
Sb1 0.376 0.376 0.376
Sb2 0.376 0.376 0.873
Sb3 0.873 0.376 0.376
Sb4 0.376 0.873 0.376
Ni1 0.000 0.000 0.000
Au1 0.750 0.750 0.750

Output
ΔE_f (raw)	18.19	kcal/mol of atoms
offset from the most stable computed form	917	meV/atom
DFT total energy	-3.469	eV/atom
D(E_F)	1.32	states/eV per atom



Record 19
The following is a PBE calculation of a geometry-optimized Ni2SbAu structure, from the Alexandria database.

a = 4.462 Å, b = 4.462 Å, c = 4.462 Å
α = 60.00°, β = 60.00°, γ = 60.00°
Sites, in units of the cell vectors:
Ni1 0.000 0.000 0.000
Ni2 0.750 0.750 0.750
Au1 0.500 0.500 0.500
Sb1 0.250 0.250 0.250

Output
ΔE_f (raw)	3.61	kcal/mol of atoms
DFT total energy	-4.584	eV/atom
D(E_F)	0.75	states/eV per atom



Record 20
The following is a PBE calculation of a geometry-optimized NiSbAu2 structure, from the Alexandria database.

a = 5.653 Å, b = 5.653 Å, c = 5.653 Å
α = 43.27°, β = 43.27°, γ = 43.27°
Sites, in units of the cell vectors:
Sb1 0.750 0.750 0.750
Au1 0.518 0.518 0.518
Au2 0.982 0.982 0.982
Ni1 0.250 0.250 0.250

Output
ΔE_f (raw)	3.19	kcal/mol of atoms
DFT total energy	-3.976	eV/atom
D(E_F)	0.61	states/eV per atom